Density functional theory data (PBE-GGA) for crystalline Sr2Mg17Tl3 at its relaxed geometry.

Geometry as CIF:
```
data_Sr2Mg17Tl3
_space_group_name_H-M_alt 'R -3 m'
_space_group_IT_number 166
_space_group_name_Hall '-R 3 2"'
_cell_length_a 11.4169
_cell_length_b 11.4169
_cell_length_c 16.2639
_cell_angle_alpha 90.00
_cell_angle_beta 90.00
_cell_angle_gamma 120.00
loop_
_atom_site_label
_atom_site_fract_x
_atom_site_fract_y
_atom_site_fract_z
Sr1 0.0000 0.0000 0.1547
Mg1 0.0000 0.0000 0.3978
Mg2 0.0000 0.2543 0.5000
Mg3 0.0000 0.5000 0.0000
Mg4 0.0055 0.5027 0.6759
Tl1 0.0000 0.5000 0.5000
```

Properties
Crystal system = trigonal
Electronic total energy = -108.53 eV per cell
E_form = 0.0634 eV/atom

***

Density functional theory data (PBE-GGA) for crystalline SrLiP2Pt5 at its relaxed geometry.

Geometry as CIF:
```
data_SrLiP2Pt5
_space_group_name_H-M_alt 'P 4/m m m'
_space_group_IT_number 123
_space_group_name_Hall '-P 4 2'
_cell_length_a 4.150
_cell_length_b 4.150
_cell_length_c 9.750
_cell_angle_alpha 90.00
_cell_angle_beta 90.00
_cell_angle_gamma 90.00
loop_
_atom_site_label
_atom_site_fract_x
_atom_site_fract_y
_atom_site_fract_z
Sr1 0.000 0.000 0.000
Li1 0.000 0.000 0.500
P1 0.500 0.500 0.234
Pt1 0.000 0.500 0.342
Pt2 0.500 0.500 0.000
```

Properties
Crystal system = tetragonal
Electronic total energy = -50.61 eV per cell
E_form = -0.6656 eV/atom

***

Density functional theory data (PBE-GGA) for crystalline PmSm4Y6 at its relaxed geometry.

Geometry as CIF:
```
data_PmSm4Y6
_space_group_name_H-M_alt 'P -6 m 2'
_space_group_IT_number 187
_space_group_name_Hall 'P -6 2'
_cell_length_a 10.9969
_cell_length_b 10.9969
_cell_length_c 3.5957
_cell_angle_alpha 90.00
_cell_angle_beta 90.00
_cell_angle_gamma 120.00
loop_
_atom_site_label
_atom_site_fract_x
_atom_site_fract_y
_atom_site_fract_z
Pm1 0.0000 0.0000 0.0000
Sm1 0.1612 0.3225 0.5000
Sm2 0.6667 0.3333 0.0000
Y1 0.0390 0.5195 0.0000
Y2 0.3676 0.1838 0.5000
```

Properties
Crystal system = hexagonal
Electronic total energy = -60.59 eV per cell
E_form = 0.1655 eV/atom
Offset from the most stable computed form = 5.2 kJ per mole of atoms

***

Question: Which of these has the highest electronic total energy?
Answer: SrLiP2Pt5